Below is a relaxed structure of Pm5In2Os, with properties calculated at the PBE level.

a b c (Å): 4.7896 7.9469 12.4319
angles (deg): 90.00 90.00 90.00
Closest atoms and distances in Å follow each position.
Element x y z (fractional)
1 Pm 0.0000 0.0000 0.5000  4 In 3.23, 4 Pm 3.58
2 Pm 0.0000 0.5000 0.0000  4 In 3.23, 4 Pm 3.58
3 Pm 0.0000 0.8605 0.2029  1 Os 2.76
4 Pm 0.0000 0.1395 0.7971  1 Os 2.76
5 Pm 0.0000 0.6395 0.7029  1 Os 2.76
6 Pm 0.0000 0.3605 0.2971  1 Os 2.76
7 Pm 0.5000 0.6833 0.4301  2 Os 2.93
8 Pm 0.5000 0.3167 0.5699  2 Os 2.93
9 Pm 0.5000 0.8167 0.9301  2 Os 2.93
10 Pm 0.5000 0.1833 0.0699  2 Os 2.93
11 In 0.5000 0.5748 0.1681  9 Pm 3.23-3.53
12 In 0.5000 0.4252 0.8319  9 Pm 3.23-3.53
13 In 0.5000 0.9252 0.6681  9 Pm 3.23-3.53
14 In 0.5000 0.0748 0.3319  9 Pm 3.23-3.53
15 Os 0.0000 0.5000 0.5000  6 Pm 2.76-2.93
16 Os 0.0000 0.0000 0.0000  6 Pm 2.76-2.93

Results
theoretical density	8.0	g/cm³
DFT formation energy	-2.5	eV/f.u.